{
  "formula": "Pr2ThCrN4",
  "functional": "PBE-GGA",
  "state": "optimized geometry",
  "formation_energy_uncorrected_mev_per_atom": -1025,
  "vol_a3_per_atom": 15.76,
  "magmom_total_mub_per_atom": 0.3151,
  "crystal_system": "orthorhombic",
  "spacegroup": "Cmcm (63)",
  "cell": [[1.742, -5.904, 0.000], [1.742, 5.904, 0.000], [0.000, 0.000, 12.263]],
  "species": ["Pr", "Pr", "Pr", "Pr", "Th", "Th", "Cr", "Cr", "N", "N", "N", "N", "N", "N", "N", "N"],
  "frac_coords": [[0.133, 0.867, 0.547], [0.133, 0.867, 0.953], [0.867, 0.133, 0.047], [0.867, 0.133, 0.453], [0.398, 0.602, 0.750], [0.602, 0.398, 0.250], [0.335, 0.665, 0.250], [0.665, 0.335, 0.750], [0.065, 0.935, 0.750], [0.221, 0.779, 0.141], [0.221, 0.779, 0.359], [0.500, 0.500, 0.000], [0.500, 0.500, 0.500], [0.779, 0.221, 0.641], [0.779, 0.221, 0.859], [0.935, 0.065, 0.250]]
}